Record 1
VASP calculation (GGA-PBE) on Cr2Ir2Pt after structural relaxation.

Computed properties:
The calculation puts the final energy at -8.616 eV/atom. The density of states at the Fermi level is 11.0 states/eV/cell. The calculation puts the volume at 14.1 Å³/atom. The mass density comes out at 16.13 g/cm³. The space-group type is P4/mbm, No. 127. The value obtained for the energy of formation is -0.015 eV/atom. The value obtained for the energy above the lowest structure with this stoichiometry is 1.527 kcal/mol of atoms.

Cell: 7.2168 7.2168 2.7028 Å, 90.00 90.00 90.00°
Element x y z (fractional)
Cr 0.6193 0.1193 0.0000
Ir 0.1695 0.6695 0.5000
Ir 0.6695 0.8305 0.5000
Pt 0.0000 0.0000 0.0000
Ir 0.8305 0.3305 0.5000
Pt 0.5000 0.5000 0.0000
Ir 0.3305 0.1695 0.5000
Cr 0.8807 0.6193 0.0000
Cr 0.3807 0.8807 0.0000
Cr 0.1193 0.3807 0.0000

Record 2
VASP calculation (GGA-PBE) on FeReTe2Ir after structural relaxation.

Computed properties:
The calculation puts the final energy at -5.614 eV/atom. The density of states at the Fermi level is 5.3 states/eV/cell. The calculation puts the volume at 24.6 Å³/atom. The mass density comes out at 9.31 g/cm³. The space-group type is P4/mmm, No. 123.

Cell: 5.1444 4.6444 5.1444 Å, 90.00 90.00 90.00°
Last column: magnetic moment on the atom in μB.
Element x y z (fractional)
Te 0.5000 0.0000 0.0000  -0.13
Ir 0.0000 0.0000 0.0000  0.15
Fe 0.0000 0.5000 0.0000  3.12
Te 0.0000 0.0000 0.5000  -0.07
Re 0.5000 0.5000 0.5000  2.88